# 1
! Tb12CePm7 | Alexandria | PBE-GGA | relaxed; values from VASP
! total moment = 0.000 μB/atom
! formation enthalpy at 0 K = 0.236 eV per atom
! space group = No. 148
&SYSTEM
  ibrav = 0, nat = 20, ntyp = 3
/
ATOMIC_SPECIES
Tb 158.93 Tb.upf
Ce 140.12 Ce.upf
Pm 145.00 Pm.upf
CELL_PARAMETERS angstrom
6.2200 3.5911 4.9716
-6.2200 3.5911 4.9716
0.0000 -7.1822 4.9716
ATOMIC_POSITIONS angstrom
Tb -1.4842 -1.4727 4.6570
Tb -3.3566 0.8889 6.7068
Tb -2.4481 -2.4625 8.2081
Tb -0.5333 2.0217 4.6570
Tb 0.9085 -3.3514 6.7068
Tb 2.0175 -0.5490 4.6570
Tb -2.0175 0.5490 10.2579
Tb -0.9085 3.3514 8.2081
Tb 0.5333 -2.0217 10.2579
Tb 2.4481 2.4625 6.7068
Tb 3.3566 -0.8889 8.2081
Tb 1.4842 1.4727 10.2579
Ce 0.0000 0.0000 0.0000
Pm -1.8066 -5.4399 6.5104
Pm -5.6144 -1.1554 8.4045
Pm -3.8078 4.2846 6.5104
Pm 0.0000 0.0000 7.4575
Pm 3.8078 -4.2846 8.4045
Pm 5.6145 1.1554 6.5104
Pm 1.8067 5.4399 8.4045

=====

# 2
! Tb2PmSmY | Alexandria | PBE-GGA | relaxed; values from VASP
! total moment = 0.000 μB/atom
! formation enthalpy at 0 K = 0.390 eV per atom
! space group = No. 63
&SYSTEM
  ibrav = 0, nat = 10, ntyp = 4
/
ATOMIC_SPECIES
Tb 158.93 Tb.upf
Pm 145.00 Pm.upf
Sm 150.36 Sm.upf
Y 88.91 Y.upf
CELL_PARAMETERS angstrom
4.1977 -5.8019 0.0000
4.1977 5.8019 0.0000
0.0000 0.0000 7.1904
ATOMIC_POSITIONS angstrom
Tb 1.5808 0.0000 0.0000
Tb 1.5808 0.0000 3.5952
Tb 6.8145 0.0000 0.0000
Tb 6.8145 0.0000 3.5952
Pm 4.1977 0.1837 5.3928
Pm 4.1977 -0.1837 1.7976
Sm 4.1977 3.2538 5.3928
Sm 4.1977 -3.2538 1.7976
Y 4.1977 3.1105 1.7976
Y 4.1977 -3.1105 5.3928

=====

# 3
! In4I3F | Alexandria | PBE-GGA | relaxed; values from VASP
! total moment = 0.000 μB/atom
! E above lowest polymorph = 0 meV per atom
! formation energy (no corrections) = -5.85 eV/f.u.
! space group = No. 31
&SYSTEM
  ibrav = 0, nat = 16, ntyp = 3
/
ATOMIC_SPECIES
In 114.82 In.upf
I 126.90 I.upf
F 19.00 F.upf
CELL_PARAMETERS angstrom
11.3348 0.0000 0.0000
0.0000 8.4084 0.0000
0.0000 0.0000 6.7530
ATOMIC_POSITIONS angstrom
In 0.0000 0.5964 0.0000
In 0.0000 5.9461 2.6991
In 1.9943 6.1006 6.3121
In 3.6731 2.3078 2.9356
In 5.6674 2.4623 6.0756
In 5.6674 7.8120 3.3765
In 7.6618 2.3078 2.9356
In 9.3405 6.1006 6.3121
I 0.0000 0.6642 3.3801
I 2.2879 2.8445 0.0046
I 3.3795 5.5639 3.3811
I 5.6674 7.7442 0.0036
I 7.9553 5.5639 3.3811
I 9.0470 2.8445 0.0046
F 0.0000 5.6495 5.0131
F 5.6674 2.7589 1.6366

=====

# 4
! ZrTc2P | Alexandria | PBE-GGA | relaxed; values from VASP
! total moment = 0.000 μB/atom
! formation enthalpy at 0 K = -0.361 eV per atom
! space group = No. 6
&SYSTEM
  ibrav = 0, nat = 4, ntyp = 3
/
ATOMIC_SPECIES
Zr 91.22 Zr.upf
Tc 98.00 Tc.upf
P 30.97 P.upf
CELL_PARAMETERS angstrom
3.0902 0.0000 0.0000
0.0000 4.2463 0.0000
-1.4152 0.0000 4.7916
ATOMIC_POSITIONS angstrom
Zr 0.0000 0.0000 0.0000
Tc -0.1088 2.1231 3.2237
Tc 1.2755 0.0000 2.2945
P 1.4744 2.1231 1.0394

=====

# 5
! Ce2UReN5 | Alexandria | PBE-GGA | relaxed; values from VASP
! total moment = 0.309 μB/atom
! formation energy (no corrections) = -7.21 eV/f.u.
! space group = No. 127
&SYSTEM
  ibrav = 0, nat = 18, ntyp = 4
/
ATOMIC_SPECIES
Ce 140.12 Ce.upf
U 238.03 U.upf
Re 186.21 Re.upf
N 14.01 N.upf
CELL_PARAMETERS angstrom
6.5554 0.0000 0.0000
0.0000 6.5554 0.0000
0.0000 0.0000 5.8499
ATOMIC_POSITIONS angstrom
Ce 1.1056 2.1721 0.0000
Ce 2.1721 5.4498 0.0000
Ce 4.3833 1.1056 0.0000
Ce 5.4498 4.3833 0.0000
U 0.0000 0.0000 2.9250
U 3.2777 3.2777 2.9250
Re 0.0000 3.2777 2.9250
Re 3.2777 0.0000 2.9250
N 0.0000 0.0000 0.0000
N 0.9938 4.2715 1.5750
N 0.9938 4.2715 4.2749
N 2.2839 0.9938 1.5750
N 2.2839 0.9938 4.2749
N 3.2777 3.2777 0.0000
N 4.2715 5.5616 1.5750
N 4.2715 5.5616 4.2749
N 5.5616 2.2839 1.5750
N 5.5616 2.2839 4.2749

=====

# 6
! Pm2Ag3BiSe6 | Alexandria | PBE-GGA | relaxed; values from VASP
! total moment = 0.000 μB/atom
! formation energy (no corrections) = -10.34 eV/f.u.
! space group = No. 12
&SYSTEM
  ibrav = 0, nat = 12, ntyp = 4
/
ATOMIC_SPECIES
Pm 145.00 Pm.upf
Ag 107.87 Ag.upf
Bi 208.98 Bi.upf
Se 78.96 Se.upf
CELL_PARAMETERS angstrom
8.9162 -2.1293 0.0000
8.9162 2.1293 0.0000
-1.2891 0.0000 8.0096
ATOMIC_POSITIONS angstrom
Pm 2.5887 0.0000 2.5592
Pm 13.9547 0.0000 5.4505
Ag 2.0811 0.0000 6.4481
Ag 8.2717 0.0000 4.0048
Ag 14.4624 0.0000 1.5615
Bi 8.9162 0.0000 0.0000
Se -0.9305 0.0000 5.9554
Se 4.7286 0.0000 7.4725
Se 5.4248 0.0000 3.4181
Se 11.1186 0.0000 4.5915
Se 11.8148 0.0000 0.5371
Se 17.4740 0.0000 2.0542

=====

# 7
! NpSbRu2 | Alexandria | PBE-GGA | relaxed; values from VASP
! total moment = 0.932 μB/atom
! E above lowest polymorph = 0 meV per atom
! formation energy (no corrections) = -0.45 eV/f.u.
! space group = No. 225
&SYSTEM
  ibrav = 0, nat = 16, ntyp = 3
/
ATOMIC_SPECIES
Np 237.00 Np.upf
Sb 121.76 Sb.upf
Ru 101.07 Ru.upf
CELL_PARAMETERS angstrom
6.6232 0.0000 0.0000
0.0000 6.6232 0.0000
0.0000 0.0000 6.6232
ATOMIC_POSITIONS angstrom
Np 0.0000 0.0000 0.0000
Np 0.0000 3.3116 3.3116
Np 3.3116 0.0000 3.3116
Np 3.3116 3.3116 0.0000
Sb 0.0000 0.0000 3.3116
Sb 0.0000 3.3116 0.0000
Sb 3.3116 0.0000 0.0000
Sb 3.3116 3.3116 3.3116
Ru 1.6558 1.6558 1.6558
Ru 1.6558 1.6558 4.9674
Ru 1.6558 4.9674 1.6558
Ru 1.6558 4.9674 4.9674
Ru 4.9674 1.6558 1.6558
Ru 4.9674 1.6558 4.9674
Ru 4.9674 4.9674 1.6558
Ru 4.9674 4.9674 4.9674

=====

# 8
! NaB2AsOs | Alexandria | PBE-GGA | relaxed; values from VASP
! total moment = 0.135 μB/atom
! formation enthalpy at 0 K = 1.817 eV per atom
! space group = No. 123
&SYSTEM
  ibrav = 0, nat = 5, ntyp = 4
/
ATOMIC_SPECIES
Na 22.99 Na.upf
B 10.81 B.upf
As 74.92 As.upf
Os 190.23 Os.upf
CELL_PARAMETERS angstrom
4.2548 0.0000 0.0000
0.0000 4.2548 0.0000
0.0000 0.0000 4.6876
ATOMIC_POSITIONS angstrom
Na 0.0000 0.0000 0.0000
B 0.0000 2.1274 2.3438
B 2.1274 0.0000 2.3438
As 2.1274 2.1274 2.3438
Os 2.1274 2.1274 0.0000